# 1
# PBE NaAcTa2O7, optimized geometry
data_NaAcTa2O7
_chemical_formula_sum 'Na1 Ac1 Ta2 O7'
_cell_length_a 3.900
_cell_length_b 3.900
_cell_length_c 11.305
_cell_angle_alpha 90.00
_cell_angle_beta 90.00
_cell_angle_gamma 90.00
_space_group_name_H-M_alt 'P 1'
_space_group_IT_number 1
loop_
_space_group_symop_operation_xyz
'x,y,z'
loop_
_atom_site_label
_atom_site_type_symbol
_atom_site_fract_x
_atom_site_fract_y
_atom_site_fract_z
O1 O 0.500 0.500 0.000
O2 O 0.500 0.000 0.174
O3 O 0.500 0.500 0.372
O4 O 0.000 0.500 0.826
O5 O 0.500 0.500 0.628
O6 O 0.000 0.500 0.174
O7 O 0.500 0.000 0.826
Ac1 Ac 0.000 0.000 0.000
Ta1 Ta 0.500 0.500 0.787
Ta2 Ta 0.500 0.500 0.213
Na1 Na 0.000 0.000 0.500
# **Volume**: 15.63 Å³/atom
# **Fermi-level density of states**: 0.00 states/eV per cell
# **SG**: P4/mmm
# **Crystal system**: tetragonal
# **Formation energy from raw total energies**: -2.864 eV per atom

***

# 2
# PBE LiErH8Ir2, optimized geometry
data_LiErH8Ir2
_chemical_formula_sum 'Li1 Er1 H8 Ir2'
_cell_length_a 4.321
_cell_length_b 4.522
_cell_length_c 6.054
_cell_angle_alpha 67.29
_cell_angle_beta 69.09
_cell_angle_gamma 61.46
_space_group_name_H-M_alt 'P 1'
_space_group_IT_number 1
loop_
_space_group_symop_operation_xyz
'x,y,z'
loop_
_atom_site_label
_atom_site_type_symbol
_atom_site_fract_x
_atom_site_fract_y
_atom_site_fract_z
H1 H 0.407 0.987 0.685
H2 H 0.254 0.603 0.889
H3 H 0.746 0.397 0.111
H4 H 0.936 0.452 0.675
H5 H 0.079 0.013 0.315
H6 H 0.921 0.987 0.685
H7 H 0.064 0.548 0.325
H8 H 0.593 0.013 0.315
Er1 Er 0.500 0.500 0.500
Li1 Li 0.000 0.000 0.000
Ir1 Ir 0.709 0.728 0.853
Ir2 Ir 0.291 0.272 0.147
# **VASP energy**: -4.559 eV per atom
# **Volume**: 7.81 Å³/atom
# **Fermi-level density of states**: 0.48 states/eV per cell
# **SG**: C2/m
# **Crystal system**: monoclinic

***

# 3
# PBE LaHo6Tm12, optimized geometry
data_LaHo6Tm12
_chemical_formula_sum 'La1 Ho6 Tm12'
_cell_length_a 9.204
_cell_length_b 9.204
_cell_length_c 9.204
_cell_angle_alpha 107.67
_cell_angle_beta 107.67
_cell_angle_gamma 107.67
_space_group_name_H-M_alt 'P 1'
_space_group_IT_number 1
loop_
_space_group_symop_operation_xyz
'x,y,z'
loop_
_atom_site_label
_atom_site_type_symbol
_atom_site_fract_x
_atom_site_fract_y
_atom_site_fract_z
Tm1 Tm 0.500 0.889 0.111
Tm2 Tm 0.111 0.500 0.889
Tm3 Tm 0.889 0.111 0.500
Tm4 Tm 0.849 0.630 0.630
Tm5 Tm 0.630 0.630 0.849
Tm6 Tm 0.630 0.849 0.630
Tm7 Tm 0.889 0.500 0.111
Tm8 Tm 0.500 0.111 0.889
Tm9 Tm 0.370 0.370 0.151
Tm10 Tm 0.111 0.889 0.500
Tm11 Tm 0.370 0.151 0.370
Tm12 Tm 0.151 0.370 0.370
Ho1 Ho 0.311 0.311 0.736
Ho2 Ho 0.264 0.689 0.689
Ho3 Ho 0.689 0.689 0.264
Ho4 Ho 0.311 0.736 0.311
Ho5 Ho 0.689 0.264 0.689
Ho6 Ho 0.736 0.311 0.311
La1 La 0.000 0.000 0.000
# **DFT formation energy**: 432 meV/atom
# **Volume**: 33.54 Å³/atom
# **E above lowest polymorph**: 6.19 kcal/mol of atoms
# **Fermi-level density of states**: 23.64 states/eV per cell
# **SG**: R-3m
# **Crystal system**: trigonal

***

# 4
# PBE TlWCl2, optimized geometry
data_TlWCl2
_chemical_formula_sum 'Tl1 W1 Cl2'
_cell_length_a 4.651
_cell_length_b 3.090
_cell_length_c 6.835
_cell_angle_alpha 76.03
_cell_angle_beta 90.00
_cell_angle_gamma 90.00
_space_group_name_H-M_alt 'P 1'
_space_group_IT_number 1
loop_
_space_group_symop_operation_xyz
'x,y,z'
loop_
_atom_site_label
_atom_site_type_symbol
_atom_site_fract_x
_atom_site_fract_y
_atom_site_fract_z
W1 W 0.500 0.890 0.848
Cl1 Cl 0.500 0.238 0.132
Cl2 Cl 0.000 0.830 0.959
Tl1 Tl 0.000 0.542 0.561
# **Volume**: 23.83 Å³/atom
# **E above lowest polymorph**: 4.89 kcal/mol of atoms
# **Fermi-level density of states**: 3.49 states/eV per cell
# **SG**: Pm
# **Crystal system**: monoclinic
# **Formation energy from raw total energies**: 0.205 eV per atom

***

# 5
# PBE Rb2FePd2, optimized geometry
data_Rb2FePd2
_chemical_formula_sum 'Rb4 Fe2 Pd4'
_cell_length_a 6.711
_cell_length_b 6.711
_cell_length_c 5.693
_cell_angle_alpha 90.00
_cell_angle_beta 90.00
_cell_angle_gamma 90.00
_space_group_name_H-M_alt 'P 1'
_space_group_IT_number 1
loop_
_space_group_symop_operation_xyz
'x,y,z'
loop_
_atom_site_label
_atom_site_type_symbol
_atom_site_fract_x
_atom_site_fract_y
_atom_site_fract_z
Pd1 Pd 0.858 0.642 0.000
Pd2 Pd 0.358 0.858 0.000
Pd3 Pd 0.642 0.142 0.000
Pd4 Pd 0.142 0.358 0.000
Rb1 Rb 0.820 0.320 0.500
Rb2 Rb 0.180 0.680 0.500
Rb3 Rb 0.320 0.180 0.500
Rb4 Rb 0.680 0.820 0.500
Fe1 Fe 0.000 0.000 0.000
Fe2 Fe 0.500 0.500 0.000
# **DFT formation energy**: 399 meV/atom
# **Volume**: 25.64 Å³/atom
# **E above lowest polymorph**: 0.00 kcal/mol of atoms
# **Fermi-level density of states**: 8.15 states/eV per cell
# **SG**: P4/mbm
# **Crystal system**: tetragonal

***

# 6
# PBE Pr8Ru3Br3O, optimized geometry
data_Pr8Ru3Br3O
_chemical_formula_sum 'Pr8 Ru3 Br3 O1'
_cell_length_a 8.102
_cell_length_b 8.098
_cell_length_c 9.183
_cell_angle_alpha 116.19
_cell_angle_beta 90.00
_cell_angle_gamma 120.02
_space_group_name_H-M_alt 'P 1'
_space_group_IT_number 1
loop_
_space_group_symop_operation_xyz
'x,y,z'
loop_
_atom_site_label
_atom_site_type_symbol
_atom_site_fract_x
_atom_site_fract_y
_atom_site_fract_z
Pr1 Pr 0.265 0.530 0.296
Pr2 Pr 0.779 0.557 0.314
Pr3 Pr 0.735 0.470 0.704
Pr4 Pr 0.221 0.443 0.686
Pr5 Pr 0.778 0.035 0.314
Pr6 Pr 0.222 0.965 0.686
Pr7 Pr 0.743 0.965 0.686
Pr8 Pr 0.257 0.035 0.314
Ru1 Ru 0.500 0.500 0.500
Ru2 Ru 0.500 0.000 0.500
Ru3 Ru 0.000 0.500 0.500
Br1 Br 0.000 0.500 0.000
Br2 Br 0.000 0.000 0.000
Br3 Br 0.500 0.500 0.000
O1 O 0.000 0.000 0.500
# **Volume**: 29.92 Å³/atom
# **Fermi-level density of states**: 8.08 states/eV per cell
# **SG**: C2/m
# **Crystal system**: monoclinic
# **Formation energy from raw total energies**: -0.880 eV per atom

***

# 7
# PBE CaSi2Br, optimized geometry
data_CaSi2Br
_chemical_formula_sum 'Ca1 Si2 Br1'
_cell_length_a 5.061
_cell_length_b 5.061
_cell_length_c 3.523
_cell_angle_alpha 90.00
_cell_angle_beta 90.00
_cell_angle_gamma 90.00
_space_group_name_H-M_alt 'P 1'
_space_group_IT_number 1
loop_
_space_group_symop_operation_xyz
'x,y,z'
loop_
_atom_site_label
_atom_site_type_symbol
_atom_site_fract_x
_atom_site_fract_y
_atom_site_fract_z
Si1 Si 0.000 0.000 0.000
Si2 Si 0.500 0.500 0.000
Br1 Br 0.500 0.000 0.500
Ca1 Ca 0.000 0.500 0.500
# **Volume**: 22.56 Å³/atom
# **E above lowest polymorph**: 21.11 kcal/mol of atoms
# **Fermi-level density of states**: 2.45 states/eV per cell
# **SG**: P4/mmm
# **Crystal system**: tetragonal
# **Formation energy from raw total energies**: 0.240 eV per atom

***

# 8
# PBE YMnCdN2, optimized geometry
data_YMnCdN2
_chemical_formula_sum 'Y1 Mn1 Cd1 N2'
_cell_length_a 4.382
_cell_length_b 4.382
_cell_length_c 5.930
_cell_angle_alpha 90.00
_cell_angle_beta 90.00
_cell_angle_gamma 90.00
_space_group_name_H-M_alt 'P 1'
_space_group_IT_number 1
loop_
_space_group_symop_operation_xyz
'x,y,z'
loop_
_atom_site_label
_atom_site_type_symbol
_atom_site_fract_x
_atom_site_fract_y
_atom_site_fract_z
Mn1 Mn 0.000 0.000 0.500
Y1 Y 0.000 0.000 0.000
N1 N 0.500 0.000 0.000
N2 N 0.000 0.500 0.000
Cd1 Cd 0.500 0.500 0.500
# **Volume**: 22.78 Å³/atom
# **Fermi-level density of states**: 4.02 states/eV per cell
# **SG**: P4/mmm
# **Crystal system**: tetragonal
# **Formation energy from raw total energies**: 1.219 eV per atom

***

Table of total magnetization (μB per formula unit), in record order: 0.000; 0.000; 0.000; 0.050; 3.594; 0.785; 0.000; 7.103